(1)
## NaCdBi (PBE)

Data for NaCdBi after structural relaxation.

The structure in POSCAR format:
```
NaCdBi
1.0
8.171 0.000 0.000
0.000 4.877 0.000
0.000 0.000 8.934
Na Cd Bi
4 4 4
direct
0.022 0.250 0.183
0.478 0.750 0.683
0.522 0.250 0.317
0.978 0.750 0.817
0.143 0.250 0.571
0.357 0.750 0.071
0.643 0.250 0.929
0.857 0.750 0.429
0.234 0.750 0.389
0.266 0.250 0.889
0.734 0.750 0.111
0.766 0.250 0.611
```

Calculated values
Calculated formation energy in kJ/mol of atoms: -23.5

(2)
## Ho2BeCuPd6 (PBE)

Data for Ho2BeCuPd6 after structural relaxation.

The structure in POSCAR format:
```
Ho2BeCuPd6
1.0
5.433 0.000 0.000
2.345 5.452 0.000
2.309 -0.205 5.901
Ho Be Cu Pd
2 1 1 6
direct
0.008 0.235 0.277
0.992 0.765 0.723
0.500 0.500 0.000
0.500 0.000 0.500
0.010 0.716 0.244
0.379 0.888 0.902
0.489 0.347 0.701
0.511 0.653 0.299
0.621 0.112 0.098
0.990 0.284 0.756
```

Calculated values
Calculated formation energy in kJ/mol of atoms: -55.8

(3)
## K3PuMg2Cl9 (PBE)

Data for K3PuMg2Cl9 after structural relaxation.

The structure in POSCAR format:
```
K3PuMg2Cl9
1.0
7.290 0.000 0.000
-3.645 6.314 0.000
0.000 0.000 9.313
K Pu Mg Cl
3 1 2 9
direct
0.000 0.000 0.000
0.333 0.667 0.715
0.667 0.333 0.285
0.000 0.000 0.500
0.333 0.667 0.158
0.667 0.333 0.842
0.000 0.500 0.000
0.172 0.344 0.311
0.172 0.828 0.311
0.344 0.172 0.689
0.500 0.000 0.000
0.500 0.500 0.000
0.656 0.828 0.311
0.828 0.172 0.689
0.828 0.656 0.689
```

Calculated values
Energy relative to the elements, uncorrected in eV per atom: -1.834

D(E_F) (states/eV per cell)
0.18 3.87 18.88